# AcPm4Ag5

A relaxed AcPm4Ag5 crystal (PBE, Alexandria).

POSCAR file:
```
AcPm4Ag5
1.0
3.7603 0.0000 0.0000
0.0000 3.7603 0.0000
0.0000 0.0000 19.0564
Ac Pm Ag
1 4 5
direct
0.0000 0.0000 0.0000
0.0000 0.0000 0.2070
0.0000 0.0000 0.4025
0.0000 0.0000 0.5975
0.0000 0.0000 0.7930
0.5000 0.5000 0.1135
0.5000 0.5000 0.3045
0.5000 0.5000 0.5000
0.5000 0.5000 0.6955
0.5000 0.5000 0.8865
```

volume: 26.95 Å³/atom
DFT total energy: -3.9999 eV per atom
energy relative to the elements: -254 kJ/mol of formula units

# Ac2PmAg2

A relaxed Ac2PmAg2 crystal (PBE, Alexandria).

POSCAR file:
```
Ac2PmAg2
1.0
3.3440 -8.2859 0.0000
3.3440 8.2859 0.0000
0.0000 0.0000 6.0456
Ac Pm Ag
4 2 4
direct
0.0821 0.9179 0.7500
0.2919 0.7081 0.2500
0.7081 0.2919 0.7500
0.9179 0.0821 0.2500
0.5000 0.5000 0.0000
0.5000 0.5000 0.5000
0.1089 0.3600 0.7500
0.3600 0.1089 0.2500
0.6400 0.8911 0.7500
0.8911 0.6400 0.2500
```

volume: 33.50 Å³/atom
E above lowest polymorph: 0.023 eV per atom
DFT total energy: -3.7648 eV per atom
energy relative to the elements: -15 kJ/mol of formula units

# Ac2Pm2Ag15

A relaxed Ac2Pm2Ag15 crystal (PBE, Alexandria).

POSCAR file:
```
Ac2Pm2Ag15
1.0
4.9468 2.8561 4.9680
-4.9468 2.8561 4.9680
0.0000 -5.7121 4.9680
Ac Pm Ag
2 2 15
direct
0.1493 0.1493 0.1493
0.8507 0.8507 0.8507
0.3968 0.3968 0.3968
0.6032 0.6032 0.6032
0.0000 0.5000 0.5000
0.1441 0.1441 0.6552
0.1441 0.6552 0.1441
0.1999 0.5000 0.8001
0.1999 0.8001 0.5000
0.3448 0.8559 0.8559
0.5000 0.0000 0.5000
0.5000 0.1999 0.8001
0.5000 0.5000 0.0000
0.5000 0.8001 0.1999
0.6552 0.1441 0.1441
0.8001 0.1999 0.5000
0.8001 0.5000 0.1999
0.8559 0.3448 0.8559
0.8559 0.8559 0.3448
```

volume: 22.17 Å³/atom
DFT total energy: -3.3091 eV per atom
energy relative to the elements: -230 kJ/mol of formula units

# AcPmPrAg

A relaxed AcPmPrAg crystal (PBE, Alexandria).

POSCAR file:
```
AcPmPrAg
1.0
0.0000 4.0175 4.0175
4.0175 0.0000 4.0175
4.0175 4.0175 0.0000
Ac Pm Pr Ag
1 1 1 1
direct
0.0000 0.0000 0.0000
0.2500 0.2500 0.2500
0.7500 0.7500 0.7500
0.5000 0.5000 0.5000
```

volume: 32.42 Å³/atom
E above lowest polymorph: 0.252 eV per atom
DFT total energy: -3.9752 eV per atom
energy relative to the elements: 57 kJ/mol of formula units

# AcPmPrAg

A relaxed AcPmPrAg crystal (PBE, Alexandria).

POSCAR file:
```
AcPmPrAg
1.0
3.8331 0.0000 0.0000
0.0000 3.8331 0.0000
0.0000 0.0000 9.0922
Ac Pm Pr Ag
1 1 1 1
direct
0.0000 0.0000 0.0000
0.0000 0.0000 0.4229
0.5000 0.5000 0.6957
0.5000 0.5000 0.2355
```

volume: 33.40 Å³/atom
E above lowest polymorph: 0.000 eV per atom
DFT total energy: -4.2269 eV per atom
energy relative to the elements: -40 kJ/mol of formula units

# AcPmAgRu

A relaxed AcPmAgRu crystal (PBE, Alexandria).

POSCAR file:
```
AcPmAgRu
1.0
0.0000 3.7022 3.7022
3.7022 0.0000 3.7022
3.7022 3.7022 0.0000
Ac Pm Ag Ru
1 1 1 1
direct
0.0000 0.0000 0.0000
0.5000 0.5000 0.5000
0.2500 0.2500 0.2500
0.7500 0.7500 0.7500
```

volume: 25.37 Å³/atom
DFT total energy: -5.3870 eV per atom
energy relative to the elements: -54 kJ/mol of formula units

# Ac2PmAgS5

A relaxed Ac2PmAgS5 crystal (PBE, Alexandria).

POSCAR file:
```
Ac2PmAgS5
1.0
2.0838 -8.6274 0.0000
2.0838 8.6274 0.0000
0.0000 0.0000 12.5119
Ac Pm Ag S
4 2 2 10
direct
0.1135 0.8865 0.5000
0.1244 0.8756 0.1217
0.8756 0.1244 0.6217
0.8865 0.1135 0.0000
0.1922 0.8078 0.8193
0.8078 0.1922 0.3193
0.4721 0.5279 0.2874
0.5279 0.4721 0.7874
0.0446 0.9554 0.8932
0.2917 0.7083 0.4756
0.3055 0.6945 0.1630
0.3562 0.6438 0.8167
0.4995 0.5005 0.0928
0.5005 0.4995 0.5928
0.6438 0.3562 0.3167
0.6945 0.3055 0.6630
0.7083 0.2917 0.9756
0.9554 0.0446 0.3932
```

volume: 24.99 Å³/atom
raw formation energy: -1.790 eV/atom
DFT total energy: -5.8403 eV per atom

# AcPmAg2S4

A relaxed AcPmAg2S4 crystal (PBE, Alexandria).

POSCAR file:
```
AcPmAg2S4
1.0
-3.4410 3.5292 4.0847
3.4410 -3.5292 4.0847
3.4410 3.5292 -4.0847
Ac Pm Ag S
1 1 2 4
direct
0.0000 0.0000 0.0000
0.5000 0.5000 0.0000
0.3242 0.8242 0.5000
0.6758 0.1758 0.5000
0.0856 0.0877 0.5383
0.4505 0.9123 0.9978
0.5495 0.5473 0.4617
0.9144 0.4527 0.0022
```

volume: 24.80 Å³/atom
raw formation energy: -1.227 eV/atom
DFT total energy: -5.1106 eV per atom

# AcPmAgSb

A relaxed AcPmAgSb crystal (PBE, Alexandria).

POSCAR file:
```
AcPmAgSb
1.0
0.0000 3.9098 3.9098
3.9098 0.0000 3.9098
3.9098 3.9098 0.0000
Ac Pm Ag Sb
1 1 1 1
direct
0.0000 0.0000 0.0000
0.5000 0.5000 0.5000
0.7500 0.7500 0.7500
0.2500 0.2500 0.2500
```

volume: 29.88 Å³/atom
raw formation energy: -0.553 eV/atom
DFT total energy: -4.5110 eV per atom

# Ac2PmAgSe5

A relaxed Ac2PmAgSe5 crystal (PBE, Alexandria).

POSCAR file:
```
Ac2PmAgSe5
1.0
2.1648 -9.0852 0.0000
2.1648 9.0852 0.0000
0.0000 0.0000 12.8689
Ac Pm Ag Se
4 2 2 10
direct
0.1115 0.8885 0.5000
0.1240 0.8760 0.1237
0.8760 0.1240 0.6237
0.8885 0.1115 0.0000
0.1945 0.8055 0.8230
0.8055 0.1945 0.3230
0.4446 0.5554 0.2731
0.5554 0.4446 0.7731
0.0451 0.9549 0.8863
0.2891 0.7109 0.4814
0.3069 0.6931 0.1631
0.3580 0.6420 0.8161
0.4984 0.5016 0.5869
0.5016 0.4984 0.0869
0.6420 0.3580 0.3161
0.6931 0.3069 0.6631
0.7109 0.2891 0.9814
0.9549 0.0451 0.3863
```

volume: 28.12 Å³/atom
raw formation energy: -1.673 eV/atom
DFT total energy: -5.3664 eV per atom

# AcPmAg2Se4

A relaxed AcPmAg2Se4 crystal (PBE, Alexandria).

POSCAR file:
```
AcPmAg2Se4
1.0
-3.5880 3.6849 4.2161
3.5880 -3.6849 4.2161
3.5880 3.6849 -4.2161
Ac Pm Ag Se
1 1 2 4
direct
0.0000 0.0000 0.0000
0.5000 0.5000 0.0000
0.3320 0.8320 0.5000
0.6680 0.1680 0.5000
0.0813 0.0842 0.5379
0.4537 0.9158 0.9972
0.5463 0.5435 0.4621
0.9187 0.4565 0.0028
```

volume: 27.87 Å³/atom
raw formation energy: -1.135 eV/atom
DFT total energy: -4.6979 eV per atom

# AcPmSmAg

A relaxed AcPmSmAg crystal (PBE, Alexandria).

POSCAR file:
```
AcPmSmAg
1.0
0.0000 3.9890 3.9890
3.9890 0.0000 3.9890
3.9890 3.9890 0.0000
Ac Pm Sm Ag
1 1 1 1
direct
0.0000 0.0000 0.0000
0.7500 0.7500 0.7500
0.2500 0.2500 0.2500
0.5000 0.5000 0.5000
```

volume: 31.74 Å³/atom
E above lowest polymorph: 0.258 eV per atom
DFT total energy: -3.9513 eV per atom
energy relative to the elements: 60 kJ/mol of formula units

# AcPmSmAg

A relaxed AcPmSmAg crystal (PBE, Alexandria).

POSCAR file:
```
AcPmSmAg
1.0
3.7928 0.0000 0.0000
0.0000 3.7928 0.0000
0.0000 0.0000 8.9051
Ac Pm Sm Ag
1 1 1 1
direct
0.0000 0.0000 0.0000
0.5000 0.5000 0.7013
0.5000 0.5000 0.2971
0.0000 0.0000 0.4967
```

volume: 32.03 Å³/atom
E above lowest polymorph: 0.000 eV per atom
DFT total energy: -4.2090 eV per atom
energy relative to the elements: -39 kJ/mol of formula units

# AcPmAg2Sn2

A relaxed AcPmAg2Sn2 crystal (PBE, Alexandria).

POSCAR file:
```
AcPmAg2Sn2
1.0
4.8414 0.0000 0.0000
-2.4207 4.1928 0.0000
0.0000 0.0000 8.0992
Ac Pm Ag Sn
1 1 2 2
direct
0.0000 0.0000 0.0000
0.0000 0.0000 0.5000
0.3333 0.6667 0.7087
0.6667 0.3333 0.2913
0.3333 0.6667 0.2657
0.6667 0.3333 0.7343
```

volume: 27.40 Å³/atom
DFT total energy: -4.3605 eV per atom
energy relative to the elements: -347 kJ/mol of formula units

# Ac2PmAg3Sn4

A relaxed Ac2PmAg3Sn4 crystal (PBE, Alexandria).

POSCAR file:
```
Ac2PmAg3Sn4
1.0
4.7747 0.0000 0.0000
0.0000 4.7747 0.0000
0.0000 0.0000 12.3980
Ac Pm Ag Sn
2 1 3 4
direct
0.0000 0.5000 0.2300
0.5000 0.0000 0.7700
0.0000 0.0000 0.5000
0.0000 0.5000 0.8727
0.5000 0.0000 0.1273
0.5000 0.5000 0.5000
0.0000 0.0000 0.0000
0.0000 0.5000 0.6532
0.5000 0.0000 0.3468
0.5000 0.5000 0.0000
```

volume: 28.26 Å³/atom
DFT total energy: -4.2377 eV per atom
energy relative to the elements: -467 kJ/mol of formula units

# AcPm2Ag2Sn2

A relaxed AcPm2Ag2Sn2 crystal (PBE, Alexandria).

POSCAR file:
```
AcPm2Ag2Sn2
1.0
2.4770 1.4301 9.2662
-2.4770 1.4301 9.2662
0.0000 -2.8602 9.2662
Ac Pm Ag Sn
1 2 2 2
direct
0.0000 0.0000 0.0000
0.1360 0.1360 0.1360
0.8640 0.8640 0.8640
0.4361 0.4361 0.4361
0.5639 0.5639 0.5639
0.2603 0.2603 0.2603
0.7397 0.7397 0.7397
```

volume: 28.14 Å³/atom
DFT total energy: -4.3578 eV per atom
energy relative to the elements: -307 kJ/mol of formula units

# AcPmAgSn

A relaxed AcPmAgSn crystal (PBE, Alexandria).

POSCAR file:
```
AcPmAgSn
1.0
0.0000 3.9230 3.9230
3.9230 0.0000 3.9230
3.9230 3.9230 0.0000
Ac Pm Ag Sn
1 1 1 1
direct
0.0000 0.0000 0.0000
0.5000 0.5000 0.5000
0.2500 0.2500 0.2500
0.7500 0.7500 0.7500
```

volume: 30.19 Å³/atom
DFT total energy: -4.3973 eV per atom
energy relative to the elements: -181 kJ/mol of formula units

# AcTbPmAg

A relaxed AcTbPmAg crystal (PBE, Alexandria).

POSCAR file:
```
AcTbPmAg
1.0
0.0000 3.9702 3.9702
3.9702 0.0000 3.9702
3.9702 3.9702 0.0000
Ac Tb Pm Ag
1 1 1 1
direct
0.0000 0.0000 0.0000
0.7500 0.7500 0.7500
0.2500 0.2500 0.2500
0.5000 0.5000 0.5000
```

volume: 31.29 Å³/atom
DFT total energy: -3.9179 eV per atom
energy relative to the elements: 65 kJ/mol of formula units

# Ac2PmAgTe5

A relaxed Ac2PmAgTe5 crystal (PBE, Alexandria).

POSCAR file:
```
Ac2PmAgTe5
1.0
2.2851 -9.7904 0.0000
2.2851 9.7904 0.0000
0.0000 0.0000 13.6210
Ac Pm Ag Te
4 2 2 10
direct
0.1116 0.8884 0.5000
0.1240 0.8760 0.1224
0.8760 0.1240 0.6224
0.8884 0.1116 0.0000
0.1925 0.8075 0.8229
0.8075 0.1925 0.3229
0.4326 0.5674 0.2711
0.5674 0.4326 0.7711
0.0434 0.9566 0.8825
0.2883 0.7117 0.4822
0.3065 0.6935 0.1587
0.3567 0.6433 0.8144
0.4994 0.5006 0.5904
0.5006 0.4994 0.0904
0.6433 0.3567 0.3144
0.6935 0.3065 0.6587
0.7117 0.2883 0.9822
0.9566 0.0434 0.3825
```

volume: 33.86 Å³/atom
raw formation energy: -1.318 eV/atom
DFT total energy: -4.8213 eV per atom

# AcPm2AgTe5

A relaxed AcPm2AgTe5 crystal (PBE, Alexandria).

POSCAR file:
```
AcPm2AgTe5
1.0
-4.2849 4.2849 7.7611
4.2849 -4.2849 7.7611
4.2849 4.2849 -7.7611
Ac Pm Ag Te
2 4 2 10
direct
0.2500 0.2500 0.0000
0.7500 0.7500 0.0000
0.1489 0.6489 0.7979
0.3511 0.1489 0.5000
0.6489 0.8511 0.5000
0.8511 0.3511 0.2021
0.2500 0.7500 0.5000
0.7500 0.2500 0.5000
0.0000 0.0000 0.0000
0.0331 0.1923 0.5000
0.1923 0.6923 0.1592
0.3077 0.4669 0.5000
0.4669 0.9669 0.1592
0.5000 0.5000 0.0000
0.5331 0.0331 0.8408
0.6923 0.5331 0.5000
0.8077 0.3077 0.8408
0.9669 0.8077 0.5000
```

volume: 31.67 Å³/atom
raw formation energy: -1.157 eV/atom
DFT total energy: -4.7311 eV per atom

# AcPmAg2Te4

A relaxed AcPmAg2Te4 crystal (PBE, Alexandria).

POSCAR file:
```
AcPmAg2Te4
1.0
-3.8345 3.9576 4.3460
3.8345 -3.9576 4.3460
3.8345 3.9576 -4.3460
Ac Pm Ag Te
1 1 2 4
direct
0.0000 0.0000 0.0000
0.5000 0.5000 0.0000
0.3368 0.8368 0.5000
0.6632 0.1632 0.5000
0.0726 0.0682 0.5369
0.4686 0.9318 0.0044
0.5314 0.5358 0.4632
0.9274 0.4642 0.9956
```

volume: 32.98 Å³/atom
raw formation energy: -0.835 eV/atom
DFT total energy: -4.2260 eV per atom

# AcPmThAg

A relaxed AcPmThAg crystal (PBE, Alexandria).

POSCAR file:
```
AcPmThAg
1.0
0.0000 3.9679 3.9679
3.9679 0.0000 3.9679
3.9679 3.9679 0.0000
Ac Pm Th Ag
1 1 1 1
direct
0.0000 0.0000 0.0000
0.2500 0.2500 0.2500
0.7500 0.7500 0.7500
0.5000 0.5000 0.5000
```

volume: 31.24 Å³/atom
DFT total energy: -4.5440 eV per atom
energy relative to the elements: 92 kJ/mol of formula units

# AcPmTmAg

A relaxed AcPmTmAg crystal (PBE, Alexandria).

POSCAR file:
```
AcPmTmAg
1.0
0.0000 3.9526 3.9526
3.9526 0.0000 3.9526
3.9526 3.9526 0.0000
Ac Pm Tm Ag
1 1 1 1
direct
0.0000 0.0000 0.0000
0.2500 0.2500 0.2500
0.7500 0.7500 0.7500
0.5000 0.5000 0.5000
```

volume: 30.88 Å³/atom
DFT total energy: -3.8637 eV per atom
energy relative to the elements: 70 kJ/mol of formula units

# AcPmZnAg

A relaxed AcPmZnAg crystal (PBE, Alexandria).

POSCAR file:
```
AcPmZnAg
1.0
3.8297 0.0000 0.0000
0.0000 3.8297 0.0000
0.0000 0.0000 7.5634
Ac Pm Zn Ag
1 1 1 1
direct
0.0000 0.0000 0.0000
0.0000 0.0000 0.5117
0.5000 0.5000 0.7295
0.5000 0.5000 0.2828
```

volume: 27.73 Å³/atom
E above lowest polymorph: 0.000 eV per atom
DFT total energy: -3.5148 eV per atom
energy relative to the elements: -104 kJ/mol of formula units